Entry from Alexandria via LeMat-Bulk: a geometry-optimized ScAs2Pt structure (GGA-PBE).

Symmetry: Cmmm (65)
Formation energy (meV/atom): -484

Cell lengths 3.4768, 3.4768, 6.6086 Å; angles 90.00, 90.00, 109.71 degrees
Closest atoms and distances in Å follow each position.
Sites, in units of the cell vectors:
As: 0.0000 0.0000 0.4817  2 Pt 2.52, 2 Sc 2.67
As: 0.0000 0.0000 0.0183  2 Pt 2.52, 2 Sc 2.67
Pt: 0.5000 0.5000 0.2500  4 As 2.52
Sc: 0.5000 0.5000 0.7500  4 As 2.67